# PBE CeUTl, relaxed
data_CeUTl
_chemical_formula_sum 'Ce4 U4 Tl4'
_space_group_name_H-M_alt 'C 1 2/m 1'
_space_group_IT_number 12
_space_group_name_Hall '-C 2y'
_cell_length_a 5.466
_cell_length_b 5.003
_cell_length_c 11.020
_cell_angle_alpha 90.00
_cell_angle_beta 90.99
_cell_angle_gamma 90.00
loop_
_atom_site_label
_atom_site_type_symbol
_atom_site_fract_x
_atom_site_fract_y
_atom_site_fract_z
_atom_site_occupancy
Ce1 Ce 0.198 0.000 0.070 1
U1 U 0.202 0.000 0.451 1
Tl1 Tl 0.195 0.500 0.258 1
# N(E_F)	2.482	states/eV/atom
# formation enthalpy at 0 K	60	meV/atom